--- 1 ---
The following is a DFT calculation (PBE-GGA) of a relaxed structure of AcY2Lu.

Structure (CIF):
```
data_AcY2Lu
_symmetry_space_group_name_H-M 'P 4/m m m'
_symmetry_Int_Tables_number 123
_symmetry_space_group_name_Hall '-P 4 2'
_cell_length_a 5.127
_cell_length_b 5.127
_cell_length_c 5.236
_cell_angle_alpha 90.00
_cell_angle_beta 90.00
_cell_angle_gamma 90.00
loop_
_atom_site_label
_atom_site_type_symbol
_atom_site_fract_x
_atom_site_fract_y
_atom_site_fract_z
Ac1 Ac 0.000 0.000 0.000
Y1 Y 0.000 0.500 0.500
Lu1 Lu 0.500 0.500 0.000
```

Output
The value obtained for the theoretical density is 6994 kg/m³.

---

--- 2 ---
The following is a DFT calculation (PBE-GGA) of a relaxed structure of AcY2Lu.

Structure (CIF):
```
data_AcY2Lu
_symmetry_space_group_name_H-M 'P 4/m m m'
_symmetry_Int_Tables_number 123
_symmetry_space_group_name_Hall '-P 4 2'
_cell_length_a 4.072
_cell_length_b 4.072
_cell_length_c 8.477
_cell_angle_alpha 90.00
_cell_angle_beta 90.00
_cell_angle_gamma 90.00
loop_
_atom_site_label
_atom_site_type_symbol
_atom_site_fract_x
_atom_site_fract_y
_atom_site_fract_z
Ac1 Ac 0.000 0.000 0.000
Y1 Y 0.500 0.500 0.282
Lu1 Lu 0.000 0.000 0.500
```

Output
The value obtained for the theoretical density is 6850 kg/m³.

---

Which structure is the most stable? The one labeled 1.